#a
Computed, not measured: a relaxed InPOs2 crystal at the PBEsol level of DFT.

```
data_InPOs2
_cell_length_a 3.978
_cell_length_b 3.978
_cell_length_c 7.680
_cell_angle_alpha 90.00
_cell_angle_beta 90.00
_cell_angle_gamma 90.00
_space_group_name_H-M_alt 'I -4 m 2'
_space_group_IT_number 119
_space_group_name_Hall 'I -4 -2'
loop_
_atom_site_label
_atom_site_type_symbol
_atom_site_fract_x
_atom_site_fract_y
_atom_site_fract_z
In1 In 0.000 0.000 0.000
P1 P 0.000 0.500 0.750
Os1 Os 0.000 0.000 0.500
Os2 Os 0.000 0.500 0.250
```

Computed properties:
The calculation puts the size of the total moment at 0.00 μB/f.u. The density of states at the Fermi level is 1.148 states/eV per atom.


#b
Computed, not measured: a relaxed InPOs2 crystal at the PBEsol level of DFT.

```
data_InPOs2
_cell_length_a 4.339
_cell_length_b 4.339
_cell_length_c 3.101
_cell_angle_alpha 90.00
_cell_angle_beta 90.00
_cell_angle_gamma 90.00
_space_group_name_H-M_alt 'P 4/m m m'
_space_group_IT_number 123
_space_group_name_Hall '-P 4 2'
loop_
_atom_site_label
_atom_site_type_symbol
_atom_site_fract_x
_atom_site_fract_y
_atom_site_fract_z
In1 In 0.000 0.000 0.000
P1 P 0.500 0.500 0.000
Os1 Os 0.000 0.500 0.500
```

Computed properties:
The calculation puts the size of the total moment at 0.00 μB/f.u. The density of states at the Fermi level is 0.478 states/eV per atom.


Winner for stability: #b


#a
Computed, not measured: a relaxed InSbOs2 crystal at the PBEsol level of DFT.

```
data_InSbOs2
_cell_length_a 3.154
_cell_length_b 4.333
_cell_length_c 5.123
_cell_angle_alpha 90.00
_cell_angle_beta 90.00
_cell_angle_gamma 90.00
_space_group_name_H-M_alt 'P m m m'
_space_group_IT_number 47
_space_group_name_Hall '-P 2 2'
loop_
_atom_site_label
_atom_site_type_symbol
_atom_site_fract_x
_atom_site_fract_y
_atom_site_fract_z
In1 In 0.000 0.000 0.000
Sb1 Sb 0.500 0.000 0.500
Os1 Os 0.000 0.500 0.500
Os2 Os 0.500 0.500 0.000
```

Computed properties:
The calculation puts the size of the total moment at 0.00 μB/f.u. The density of states at the Fermi level is 0.816 states/eV per atom.


#b
Computed, not measured: a relaxed InSbOs2 crystal at the PBEsol level of DFT.

```
data_InSbOs2
_cell_length_a 8.634
_cell_length_b 3.033
_cell_length_c 5.371
_cell_angle_alpha 90.00
_cell_angle_beta 101.14
_cell_angle_gamma 90.00
_space_group_name_H-M_alt 'C 1 2/m 1'
_space_group_IT_number 12
_space_group_name_Hall '-C 2y'
loop_
_atom_site_label
_atom_site_type_symbol
_atom_site_fract_x
_atom_site_fract_y
_atom_site_fract_z
In1 In 0.000 0.000 0.000
Sb1 Sb 0.000 0.500 0.500
Os1 Os 0.249 0.500 0.277
```

Computed properties:
The calculation puts the size of the total moment at 0.00 μB/f.u. The density of states at the Fermi level is 0.551 states/eV per atom.


#c
Computed, not measured: a relaxed InSbOs2 crystal at the PBEsol level of DFT.

```
data_InSbOs2
_cell_length_a 3.202
_cell_length_b 3.202
_cell_length_c 6.477
_cell_angle_alpha 90.00
_cell_angle_beta 90.00
_cell_angle_gamma 90.00
_space_group_name_H-M_alt 'P 4/m m m'
_space_group_IT_number 123
_space_group_name_Hall '-P 4 2'
loop_
_atom_site_label
_atom_site_type_symbol
_atom_site_fract_x
_atom_site_fract_y
_atom_site_fract_z
In1 In 0.000 0.000 0.000
Sb1 Sb 0.000 0.000 0.500
Os1 Os 0.500 0.500 0.259
```

Computed properties:
The calculation puts the size of the total moment at 0.00 μB/f.u. The density of states at the Fermi level is 0.234 states/eV per atom.


Winner for stability: #c


#a
Computed, not measured: a relaxed Tl2InOs crystal at the PBEsol level of DFT.

```
data_Tl2InOs
_cell_length_a 3.0976
_cell_length_b 3.0976
_cell_length_c 31.5297
_cell_angle_alpha 90.00
_cell_angle_beta 90.00
_cell_angle_gamma 120.00
_space_group_name_H-M_alt 'R -3 m'
_space_group_IT_number 166
_space_group_name_Hall '-R 3 2"'
loop_
_atom_site_label
_atom_site_type_symbol
_atom_site_fract_x
_atom_site_fract_y
_atom_site_fract_z
Tl1 Tl 0.0000 0.0000 0.2384
In1 In 0.0000 0.0000 0.0000
Os1 Os 0.0000 0.0000 0.5000
```

Computed properties:
The calculation puts the size of the total moment at 0.00 μB/f.u. The density of states at the Fermi level is 0.824 states/eV per atom.


#b
Computed, not measured: a relaxed Tl2InOs crystal at the PBEsol level of DFT.

```
data_Tl2InOs
_cell_length_a 5.851
_cell_length_b 8.212
_cell_length_c 3.420
_cell_angle_alpha 90.00
_cell_angle_beta 90.00
_cell_angle_gamma 90.00
_space_group_name_H-M_alt 'C m m m'
_space_group_IT_number 65
_space_group_name_Hall '-C 2 2'
loop_
_atom_site_label
_atom_site_type_symbol
_atom_site_fract_x
_atom_site_fract_y
_atom_site_fract_z
Tl1 Tl 0.250 0.250 0.000
In1 In 0.000 0.000 0.500
Os1 Os 0.000 0.500 0.500
```

Computed properties:
The calculation puts the size of the total moment at 0.00 μB/f.u. The density of states at the Fermi level is 0.692 states/eV per atom.


Winner for stability: #a


#a
Computed, not measured: a relaxed In2PPb crystal at the PBEsol level of DFT.

```
data_In2PPb
_cell_length_a 4.305
_cell_length_b 4.305
_cell_length_c 10.413
_cell_angle_alpha 90.00
_cell_angle_beta 90.00
_cell_angle_gamma 90.00
_space_group_name_H-M_alt 'I 4/m m m'
_space_group_IT_number 139
_space_group_name_Hall '-I 4 2'
loop_
_atom_site_label
_atom_site_type_symbol
_atom_site_fract_x
_atom_site_fract_y
_atom_site_fract_z
In1 In 0.000 0.500 0.250
P1 P 0.000 0.000 0.000
Pb1 Pb 0.000 0.000 0.500
```

Computed properties:
The calculation puts the size of the total moment at 0.00 μB/f.u. The density of states at the Fermi level is 0.375 states/eV per atom.


#b
Computed, not measured: a relaxed In2PPb crystal at the PBEsol level of DFT.

```
data_In2PPb
_cell_length_a 5.786
_cell_length_b 10.955
_cell_length_c 4.167
_cell_angle_alpha 90.00
_cell_angle_beta 132.85
_cell_angle_gamma 90.00
_space_group_name_H-M_alt 'C 1 2/m 1'
_space_group_IT_number 12
_space_group_name_Hall '-C 2y'
loop_
_atom_site_label
_atom_site_type_symbol
_atom_site_fract_x
_atom_site_fract_y
_atom_site_fract_z
In1 In 0.250 0.250 0.000
P1 P 0.000 0.000 0.500
Pb1 Pb 0.000 0.500 0.500
```

Computed properties:
The calculation puts the size of the total moment at 0.00 μB/f.u. The density of states at the Fermi level is 0.549 states/eV per atom.


Winner for stability: #b